[1]
VASP calculation (GGA-PBE) on an optimized crystal structure of HfCrAs.

Lattice parameters (Å, degrees): 9.594 3.789 6.645 90.00 125.43 90.00
Space group C2/m (No. 12)
One atom of each set of equivalent atoms:
Hf: 0.070 0.000 0.325 (multiplicity 4)
Cr: 0.128 0.500 0.055 (multiplicity 4)
As: 0.168 0.500 0.716 (multiplicity 4)

Output
V, A^3/atom: 16.4
Size of the total moment, Bohr magnetons per cell: 0.00
DOS at the Fermi energy, states/eV per atom: 0.66
Final energy, eV/atom: -8.509



[2]
VASP calculation (GGA-PBE) on an optimized crystal structure of HfMnCr2As.

Lattice parameters (Å, degrees): 4.346 4.346 4.474 90.00 90.00 90.00
Space group P4/mmm (No. 123)
One atom of each set of equivalent atoms:
Hf: 0.000 0.000 0.000 (multiplicity 1)
Mn: 0.500 0.500 0.500 (multiplicity 1)
Cr: 0.000 0.500 0.500 (multiplicity 2)
As: 0.500 0.500 0.000 (multiplicity 1)

Output
V, A^3/atom: 16.9
Size of the total moment, Bohr magnetons per cell: 3.45
DOS at the Fermi energy, states/eV per atom: 1.00
Final energy, eV/atom: -7.996